A plane-wave DFT calculation with PBE was carried out for a relaxed structure of NaUSn.

As for the final energy: -4.67 eV/atom.

The space group is F-43m (No. 216) and the conventional cell measures 7.328, 7.328 and 7.328 Å, with angles of 90.00, 90.00 and 90.00 degrees. The asymmetric unit holds Na at (0.000, 0.000, 0.000), U at (0.250, 0.250, 0.750) and Sn at (0.000, 0.000, 0.500).

---

A plane-wave DFT calculation with PBE was carried out for a relaxed structure of NaUSn.

As for the final energy: -4.77 eV/atom.

The space group is F-43m (No. 216) and the conventional cell measures 6.969, 6.969 and 6.969 Å, with angles of 90.00, 90.00 and 90.00 degrees. The asymmetric unit holds Na at (0.000, 0.000, 0.000), U at (0.250, 0.250, 0.250) and Sn at (0.250, 0.250, 0.750).

---

A plane-wave DFT calculation with PBE was carried out for a relaxed structure of Na2SnW.

As for the final energy: -4.06 eV/atom.

The space group is P6_3/mmc (No. 194) and the conventional cell measures 4.7655, 4.7655 and 10.2033 Å, with angles of 90.00, 90.00 and 120.00 degrees. The asymmetric unit holds Na at (0.3333, 0.6667, 0.0755), Sn at (0.3333, 0.6667, 0.7500) and W at (0.0000, 0.0000, 0.2500).

---

A plane-wave DFT calculation with PBE was carried out for a relaxed structure of NaSn5W3.

As for the final energy: -6.47 eV/atom.

The space group is P6/mmm (No. 191) and the conventional cell measures 5.5419, 5.5419 and 8.6896 Å, with angles of 90.00, 90.00 and 120.00 degrees. The asymmetric unit holds Na at (0.0000, 0.0000, 0.0000), Sn at (0.0000, 0.0000, 0.5000), Sn at (0.3333, 0.6667, 0.2159) and W at (0.0000, 0.5000, 0.5000).